Density functional theory data (PBE-GGA) for crystalline TaBe2Pt at its relaxed geometry.

Results
space group = P4mm
DFT total energy = -6.74 eV per atom
formation energy from the elements = -0.402 eV per atom
energy above the most stable polymorph in this dataset = 0.0 meV per atom

```
data_TaBe2Pt
_chemical_formula_sum 'Ta1 Be2 Pt1'
_symmetry_space_group_name_H-M 'P 1'
_symmetry_Int_Tables_number 1
_symmetry_space_group_name_Hall 'P 1'
_cell_length_a 2.793
_cell_length_b 2.793
_cell_length_c 6.361
_cell_angle_alpha 90.00
_cell_angle_beta 90.00
_cell_angle_gamma 90.00
loop_
_atom_site_label
_atom_site_fract_x
_atom_site_fract_y
_atom_site_fract_z
Be1 0.500 0.500 0.226
Be2 0.000 0.000 0.050
Ta1 0.500 0.500 0.779
Pt1 0.000 0.000 0.445
```